# 1
Material: Sm2CoN
Method: DFT, GGA-PBE
State: relaxed

Summary:
- Symmetry: No. 166
- E_form (uncorrected): -0.514 eV per atom

Cell and atoms, written as POSCAR:
```
Sm2CoN
1.0
3.593 0.000 0.000
1.797 3.112 0.000
1.797 1.037 6.796
Sm N Co
2 1 1
Direct
0.237 0.237 0.288
0.763 0.763 0.712
0.500 0.500 0.500
0.000 0.000 0.000
```

# 2
Material: Ca2CeNd
Method: DFT, GGA-PBE
State: relaxed

Summary:
- E_form: 1.09 eV/f.u.
- Symmetry: No. 166

Cell and atoms, written as POSCAR:
```
Ca2CeNd
1.0
-3.310 0.745 1.080
-0.862 -0.309 3.441
2.122 12.824 3.525
Ce Ca Nd
1 2 1
Direct
0.500 0.500 0.500
0.912 0.912 0.265
0.088 0.088 0.735
0.000 0.000 0.000
```

# 3
Material: Pu3Zn5O12
Method: DFT, GGA-PBE
State: relaxed

Summary:
- Symmetry: No. 230
- E_form (uncorrected): -1.995 eV per atom

Cell and atoms, written as POSCAR:
```
Pu3Zn5O12
1.0
10.827 0.000 0.000
-3.609 10.208 0.000
-3.609 -5.104 8.841
Zn O Pu
20 48 12
Direct
0.750 0.625 0.375
0.500 0.000 0.500
0.875 0.250 0.625
0.000 0.000 0.500
0.500 0.500 0.500
0.125 0.750 0.375
0.375 0.250 0.125
0.000 0.500 0.000
0.750 0.125 0.875
0.375 0.125 0.750
0.250 0.375 0.625
0.625 0.750 0.875
0.500 0.000 0.000
0.875 0.625 0.750
0.500 0.500 0.000
0.125 0.375 0.250
0.000 0.500 0.500
0.625 0.875 0.250
0.250 0.875 0.125
0.000 0.000 0.000
0.455 0.780 0.867
0.367 0.411 0.086
0.545 0.325 0.911
0.825 0.914 0.280
0.780 0.325 0.914
0.675 0.220 0.586
0.367 0.955 0.780
0.325 0.545 0.411
0.086 0.911 0.367
0.633 0.589 0.914
0.955 0.589 0.175
0.720 0.133 0.045
0.633 0.045 0.220
0.825 0.911 0.045
0.720 0.586 0.175
0.955 0.367 0.280
0.414 0.133 0.589
0.589 0.955 0.675
0.133 0.720 0.545
0.045 0.633 0.720
0.586 0.867 0.411
0.780 0.455 0.367
0.411 0.367 0.586
0.545 0.220 0.133
0.867 0.280 0.455
0.675 0.455 0.589
0.045 0.411 0.825
0.133 0.414 0.089
0.086 0.175 0.220
0.455 0.675 0.089
0.589 0.633 0.414
0.280 0.414 0.825
0.914 0.825 0.780
0.089 0.914 0.133
0.089 0.175 0.455
0.220 0.545 0.633
0.911 0.086 0.867
0.914 0.089 0.633
0.220 0.675 0.086
0.911 0.825 0.545
0.325 0.780 0.414
0.867 0.586 0.911
0.586 0.720 0.675
0.414 0.280 0.325
0.411 0.045 0.325
0.280 0.867 0.955
0.175 0.089 0.955
0.175 0.086 0.720
0.875 0.750 0.125
0.875 0.125 0.250
0.125 0.875 0.750
0.250 0.625 0.875
0.750 0.875 0.625
0.125 0.250 0.875
0.250 0.125 0.375
0.375 0.750 0.625
0.625 0.250 0.375
0.750 0.375 0.125
0.625 0.375 0.750
0.375 0.625 0.250
```

# 4
Material: Pm4Ge2Sb
Method: DFT, GGA-PBE
State: relaxed

Summary:
- Symmetry: No. 141
- E_form (uncorrected): -0.742 eV per atom

Cell and atoms, written as POSCAR:
```
Pm4Ge2Sb
1.0
-1.327 6.697 -4.726
5.100 -5.257 -3.912
-7.240 -3.793 1.468
Ge Pm Sb
4 8 2
Direct
0.625 0.875 0.250
0.125 0.375 0.750
0.625 0.375 0.250
0.625 0.375 0.750
0.920 0.238 0.318
0.488 0.670 0.818
0.762 0.080 0.682
0.330 0.512 0.182
0.398 0.080 0.318
0.330 0.148 0.818
0.852 0.670 0.182
0.920 0.602 0.682
0.000 0.000 0.000
0.250 0.750 0.500
```

| no. | density of states at the Fermi level (states/eV/cell) | calculated total energy (eV for the cell shown) |
| --- | --- | --- |
| 1 | 2.545 | -26.9 |
| 2 | 9.969 | -13.6 |
| 3 | 81.060 | -595.1 |
| 4 | 11.659 | -75.1 |